No. 1
Compound: GaNiGe2Sb
Source: the Alexandria database
Functional: GGA-PBE
Structure: optimized geometry

Values from the calculation:
Total magnetic moment = 0.000 μB per atom
Formation energy from raw total energies = 0.99 eV per atom
SG = P4/mmm, No. 123
Crystal system = tetragonal
Mass density = 5.37 Mg/m³

abc: 4.800 5.301 4.800
angles: 90.00 90.00 90.00
Fractional coordinates of all 5 atoms:
Ni 0.500 0.500 0.500
Sb 0.000 0.500 0.000
Ga 0.000 0.000 0.000
Ge 0.000 0.000 0.500
Ge 0.500 0.000 0.000

---

No. 2
Compound: GaNi7Ge2Sb2
Source: the Alexandria database
Functional: GGA-PBE
Structure: optimized geometry

Values from the calculation:
Total magnetic moment = 0.000 μB per atom
Formation energy from raw total energies = -0.12 eV per atom
SG = C2/m, No. 12
Crystal system = monoclinic
Mass density = 7.96 Mg/m³

abc: 3.663 3.663 13.581
angles: 85.79 85.79 90.63
Fractional coordinates of all 12 atoms:
Ni 0.500 0.500 0.000
Ni 0.037 0.536 0.872
Ni 0.368 0.368 0.418
Ni 0.536 0.037 0.872
Ni 0.464 0.963 0.128
Ni 0.963 0.464 0.128
Ni 0.632 0.632 0.582
Ge 0.570 0.570 0.759
Ge 0.430 0.430 0.241
Sb 0.134 0.134 0.601
Sb 0.866 0.866 0.399
Ga 0.000 0.000 0.000

---

No. 3
Compound: Sc2GaNi5Ge2
Source: the Alexandria database
Functional: GGA-PBE
Structure: optimized geometry

Values from the calculation:
Total magnetic moment = 0.000 μB per atom
Calculated formation energy = -0.44 eV per atom
SG = P4/mbm, No. 127
Crystal system = tetragonal
Mass density = 6.92 Mg/m³

abc: 3.342 9.274 9.274
angles: 90.00 90.00 90.00
Fractional coordinates of all 20 atoms:
Ni 0.500 0.298 0.551
Ni 0.500 0.798 0.949
Ni 0.500 0.949 0.202
Ni 0.500 0.449 0.298
Ni 0.500 0.051 0.798
Ni 0.500 0.551 0.702
Ni 0.500 0.202 0.051
Ni 0.500 0.000 0.500
Ni 0.500 0.702 0.449
Ni 0.500 0.500 0.000
Sc 0.000 0.827 0.673
Sc 0.000 0.173 0.327
Sc 0.000 0.327 0.827
Sc 0.000 0.673 0.173
Ga 0.000 0.000 0.000
Ga 0.000 0.500 0.500
Ge 0.000 0.372 0.128
Ge 0.000 0.628 0.872
Ge 0.000 0.872 0.372
Ge 0.000 0.128 0.628

---

No. 4
Compound: GaNiGe2Se
Source: the Alexandria database
Functional: GGA-PBE
Structure: optimized geometry

Values from the calculation:
Total magnetic moment = 0.052 μB per atom
Formation energy from raw total energies = 1.03 eV per atom
SG = P4/mmm, No. 123
Crystal system = tetragonal
Mass density = 4.58 Mg/m³

abc: 5.163 4.791 5.163
angles: 90.00 90.00 90.00
Last column: magnetic moment on the atom in μB.
Fractional coordinates of all 5 atoms:
Ga 0.000 0.500 0.000  0.00
Se 0.000 0.000 0.000  0.00
Ge 0.500 0.000 0.000  0.00
Ge 0.000 0.000 0.500  -0.01
Ni 0.500 0.500 0.500  0.29

---

No. 5
Compound: SmGaNi3Ge
Source: the Alexandria database
Functional: GGA-PBE
Structure: optimized geometry

Values from the calculation:
Total magnetic moment = 0.000 μB per atom
Calculated formation energy = -0.35 eV per atom
SG = Cmcm, No. 63
Crystal system = orthorhombic
Mass density = 7.87 Mg/m³

abc: 5.506 6.177 6.587
angles: 117.97 90.00 90.00
Fractional coordinates of all 12 atoms:
Ga 0.250 0.961 0.923
Ga 0.750 0.039 0.077
Ni 0.000 0.300 0.000
Ni 0.250 0.165 0.331
Ni 0.000 0.700 0.000
Ni 0.500 0.300 0.000
Ni 0.500 0.700 0.000
Ni 0.750 0.835 0.669
Ge 0.750 0.632 0.264
Ge 0.250 0.368 0.736
Sm 0.750 0.288 0.577
Sm 0.250 0.712 0.423

---

No. 6
Compound: SmGa2Ni2Ge
Source: the Alexandria database
Functional: GGA-PBE
Structure: optimized geometry

Values from the calculation:
Total magnetic moment = 0.000 μB per atom
Calculated formation energy = -0.33 eV per atom
SG = P4/mmm, No. 123
Crystal system = tetragonal
Mass density = 7.41 Mg/m³

abc: 4.391 4.391 5.576
angles: 90.00 90.00 90.00
Fractional coordinates of all 6 atoms:
Ga 0.500 0.500 0.261
Ga 0.500 0.500 0.739
Ni 0.500 0.000 0.000
Ni 0.000 0.500 0.000
Sm 0.000 0.000 0.500
Ge 0.000 0.000 0.000

---

No. 7
Compound: Sm2Ga9NiGe2
Source: the Alexandria database
Functional: GGA-PBE
Structure: optimized geometry

Values from the calculation:
Total magnetic moment = 0.000 μB per atom
Calculated formation energy = -0.38 eV per atom
SG = P4/nmm, No. 129
Crystal system = tetragonal
Mass density = 6.99 Mg/m³

abc: 6.007 6.007 14.899
angles: 90.00 90.00 90.00
Fractional coordinates of all 28 atoms:
Ni 0.500 0.500 0.000
Ni 0.000 0.000 0.000
Ga 0.000 0.500 0.343
Ga 0.773 0.273 0.912
Ga 0.500 0.000 0.657
Ga 0.778 0.278 0.584
Ga 0.273 0.227 0.088
Ga 0.278 0.222 0.416
Ga 0.222 0.722 0.584
Ga 0.773 0.727 0.912
Ga 0.727 0.773 0.088
Ga 0.227 0.727 0.912
Ga 0.722 0.778 0.416
Ga 0.727 0.227 0.088
Ga 0.273 0.773 0.088
Ga 0.278 0.778 0.416
Ga 0.227 0.273 0.912
Ga 0.778 0.722 0.584
Ga 0.222 0.278 0.584
Ga 0.722 0.222 0.416
Ge 0.000 0.500 0.740
Ge 0.500 0.000 0.260
Ge 0.000 0.500 0.176
Ge 0.500 0.000 0.824
Sm 0.500 0.500 0.754
Sm 0.000 0.000 0.246
Sm 0.000 0.000 0.754
Sm 0.500 0.500 0.246

---

No. 8
Compound: SmGa2Ni4Ge
Source: the Alexandria database
Functional: GGA-PBE
Structure: optimized geometry

Values from the calculation:
Total magnetic moment = 0.000 μB per atom
Calculated formation energy = -0.41 eV per atom
SG = R-3m, No. 166
Crystal system = trigonal
Mass density = 8.18 Mg/m³

abc: 4.078 4.078 8.745
angles: 76.52 76.52 60.00
Fractional coordinates of all 8 atoms:
Sm 0.000 0.000 0.000
Ni 0.408 0.408 0.776
Ni 0.136 0.136 0.592
Ni 0.592 0.592 0.224
Ni 0.864 0.864 0.408
Ga 0.753 0.753 0.740
Ga 0.247 0.247 0.260
Ge 0.500 0.500 0.500